# ZnAs2AuSe | Alexandria | GGA-PBE | optimized geometry
# ρ: 6.162 g/cm³
# uncorrected formation energy: 0.8389 eV/atom
data_ZnAs2AuSe
_chemical_formula_sum 'Zn1 As2 Au1 Se1'
_cell_length_a 5.043
_cell_length_b 5.043
_cell_length_c 5.205
_cell_angle_alpha 90.00
_cell_angle_beta 90.00
_cell_angle_gamma 90.00
_space_group_name_H-M_alt 'P 4/m m m'
_space_group_IT_number 123
_space_group_name_Hall '-P 4 2'
loop_
_atom_site_label
_atom_site_type_symbol
_atom_site_fract_x
_atom_site_fract_y
_atom_site_fract_z
Zn1 Zn 0.000 0.000 0.000
As1 As 0.000 0.500 0.500
Au1 Au 0.500 0.500 0.500
Se1 Se 0.500 0.500 0.000